# NdTm5Ag4 PBE-GGA relaxed
# Theoretical density: 9.5 g cm⁻³
# V: 249.5 Å³ per cell
# Total energy: -4.11 eV per atom
data_NdTm5Ag4
_space_group_name_H-M_alt 'P 4/m m m'
_space_group_IT_number 123
_space_group_name_Hall '-P 4 2'
_cell_length_a 3.563
_cell_length_b 3.563
_cell_length_c 19.655
_cell_angle_alpha 90.00
_cell_angle_beta 90.00
_cell_angle_gamma 90.00
loop_
_atom_site_label
_atom_site_type_symbol
_atom_site_fract_x
_atom_site_fract_y
_atom_site_fract_z
Nd1 Nd 0.000 0.000 0.000
Tm1 Tm 0.500 0.500 0.130
Tm2 Tm 0.500 0.500 0.314
Tm3 Tm 0.500 0.500 0.500
Ag1 Ag 0.000 0.000 0.221
Ag2 Ag 0.000 0.000 0.408